Here is an optimized crystal structure of AlAsPd4 from Alexandria. Energies are from PBE-GGA.

Values from the calculation:
total magnetization: 0.0000 μB per atom
DFT formation energy: -0.597 eV per atom
Fermi-level density of states: 5.9 states/eV per cell

```
AlAsPd4
1.0
-2.651 1.865 0.894
-0.252 -3.241 6.016
9.888 11.012 6.348
Pd Al As
16 4 4
Cartesian
6.960 8.506 12.378 Pd
0.785 0.198 5.078 Pd
6.200 9.438 8.179 Pd
4.346 5.893 10.078 Pd
-1.453 0.873 3.353 Pd
-0.125 0.610 7.842 Pd
3.450 3.464 6.166 Pd
0.025 1.130 0.879 Pd
2.104 3.355 8.725 Pd
4.881 6.281 4.532 Pd
6.254 6.593 7.953 Pd
3.535 6.172 7.091 Pd
0.731 3.044 5.303 Pd
7.110 9.027 5.415 Pd
8.438 8.763 9.904 Pd
2.639 3.743 3.179 Pd
2.203 1.376 6.824 Al
4.782 8.260 6.433 Al
1.153 1.687 3.062 Al
5.832 7.949 10.195 Al
2.318 5.447 4.994 As
-1.603 -0.400 5.566 As
4.667 4.189 8.263 As
8.588 10.036 7.691 As
```

---

Here is an optimized crystal structure of AlAs2Pd8 from Alexandria. Energies are from PBE-GGA.

Values from the calculation:
total magnetization: 0.0000 μB per atom
DFT formation energy: -0.463 eV per atom
Fermi-level density of states: 4.7 states/eV per cell

```
AlAs2Pd8
1.0
-2.606 -1.717 -2.715
2.887 -5.515 0.716
-4.104 1.774 5.970
Al Pd As
1 8 2
Cartesian
-1.303 -0.859 -1.357 Al
-3.396 0.355 3.036 Pd
-0.427 -5.813 0.935 Pd
-1.170 -1.233 1.902 Pd
-2.851 -2.238 4.152 Pd
1.966 -4.338 0.857 Pd
-5.789 -1.120 3.115 Pd
-2.654 -4.226 2.069 Pd
-0.973 -3.221 -0.181 Pd
0.037 -3.411 2.122 As
-3.860 -2.047 1.849 As
```

---

Here is an optimized crystal structure of AlAsPd4 from Alexandria. Energies are from PBE-GGA.

Values from the calculation:
total magnetization: 0.0000 μB per atom
DFT formation energy: -0.389 eV per atom
Fermi-level density of states: 4.5 states/eV per cell

```
AlAsPd4
1.0
5.350 0.000 -0.149
0.000 6.196 0.000
-0.107 0.000 6.419
As Pd Al
2 8 2
Cartesian
2.621 0.000 3.135 As
-0.054 3.098 3.210 As
0.266 2.206 5.426 Pd
3.926 4.517 4.604 Pd
4.976 3.990 0.844 Pd
2.942 0.892 5.352 Pd
1.250 4.778 4.679 Pd
2.301 5.304 0.918 Pd
1.317 1.680 1.666 Pd
3.993 1.419 1.591 Pd
2.675 3.098 -0.075 Al
0.000 0.000 0.000 Al
```

---

no.,VASP energy (eV/atom)
1,-5.46
2,-5.43
3,-5.25